First-principles (GGA+U) data for crystalline Ba2NaNiF8 at its relaxed geometry, as listed in the Alexandria database.

As for the raw total energy: -4.686 eV per atom.

The space group is P-3m1 (No. 164) and the conventional cell measures 5.6311, 5.6311 and 7.5039 Å, with angles of 90.00, 90.00 and 120.00 degrees. The asymmetric unit holds Ba at (0.3333, 0.6667, 0.3060), Na at (0.0000, 0.0000, 0.0000), Ni at (0.0000, 0.0000, 0.5000), F at (0.1581, 0.3163, 0.6483) and F at (0.3333, 0.6667, 0.9898).